Record 1
Entry from Alexandria: a relaxed structure of AcTbPmSm2 (PBE-GGA). Values from VASP.

```
&SYSTEM
  ibrav = 0, nat = 10, ntyp = 4
/
ATOMIC_SPECIES
Sm 150.36 Sm.upf
Pm 145.00 Pm.upf
Ac 227.00 Ac.upf
Tb 158.93 Tb.upf
CELL_PARAMETERS angstrom
7.332 0.000 0.000
0.000 8.394 0.000
0.000 -4.197 6.123
ATOMIC_POSITIONS crystal
Sm 0.000 0.694 0.000
Sm 0.000 0.306 0.000
Sm 0.500 0.306 0.000
Pm 0.250 0.056 0.112
Ac 0.750 0.243 0.485
Tb 0.750 0.694 0.389
Pm 0.750 0.944 0.888
Sm 0.500 0.694 0.000
Ac 0.250 0.757 0.515
Tb 0.250 0.306 0.611
```

## Properties
DFT formation energy: 341 meV per atom
Symmetry: Cmcm, No. 63
V: 37.68 Å³ per atom
Density of states at the Fermi level: 13.59 states/eV per cell
E: -21.2 eV/f.u.
Mass density: 7.33 g/cm3

---

Record 2
Entry from Alexandria: a relaxed structure of Ac2TbPmSm (PBE-GGA). Values from VASP.

```
&SYSTEM
  ibrav = 0, nat = 10, ntyp = 4
/
ATOMIC_SPECIES
Tb 158.93 Tb.upf
Ac 227.00 Ac.upf
Sm 150.36 Sm.upf
Pm 145.00 Pm.upf
CELL_PARAMETERS angstrom
-5.349 1.566 -3.916
-5.138 -5.710 4.736
-1.555 4.738 4.019
ATOMIC_POSITIONS crystal
Tb 0.832 0.500 0.250
Ac 0.297 0.701 0.250
Tb 0.168 0.500 0.750
Ac 0.703 0.299 0.750
Sm 0.000 0.000 0.000
Pm 0.420 0.000 0.750
Ac 0.703 0.701 0.750
Sm 0.000 0.000 0.500
Ac 0.297 0.299 0.250
Pm 0.580 0.000 0.250
```

## Properties
DFT formation energy: 275 meV per atom
Symmetry: Pmma, No. 51
V: 39.37 Å³ per atom
Density of states at the Fermi level: 13.09 states/eV per cell
E: -20.9 eV/f.u.
Mass density: 7.66 g/cm3

---

Record 3
Entry from Alexandria: a relaxed structure of AcTb3Pm6Sm2 (PBE-GGA). Values from VASP.

```
&SYSTEM
  ibrav = 0, nat = 12, ntyp = 4
/
ATOMIC_SPECIES
Pm 145.00 Pm.upf
Tb 158.93 Tb.upf
Ac 227.00 Ac.upf
Sm 150.36 Sm.upf
CELL_PARAMETERS angstrom
6.331 -0.001 0.016
-3.165 5.484 0.016
-1.088 -1.883 11.911
ATOMIC_POSITIONS crystal
Pm 0.914 0.579 0.745
Tb 0.833 0.167 0.500
Tb 0.167 0.833 0.500
Pm 0.750 0.750 0.255
Ac 0.000 0.000 0.000
Pm 0.579 0.914 0.745
Pm 0.086 0.421 0.255
Sm 0.667 0.333 0.000
Sm 0.333 0.667 0.000
Pm 0.421 0.086 0.255
Tb 0.500 0.500 0.500
Pm 0.250 0.250 0.745
```

## Properties
DFT formation energy: 25 meV per atom
Symmetry: C2/m, No. 12
V: 34.49 Å³ per atom
Density of states at the Fermi level: 17.15 states/eV per cell
E: -55.6 eV/f.u.
Mass density: 7.52 g/cm3

---

Record 4
Entry from Alexandria: a relaxed structure of AcTbPm2Sm4 (PBE-GGA). Values from VASP.

```
&SYSTEM
  ibrav = 0, nat = 16, ntyp = 4
/
ATOMIC_SPECIES
Sm 150.36 Sm.upf
Tb 158.93 Tb.upf
Pm 145.00 Pm.upf
Ac 227.00 Ac.upf
CELL_PARAMETERS angstrom
9.562 -0.016 -1.679
-0.023 9.562 -1.679
-6.082 -6.086 8.392
ATOMIC_POSITIONS crystal
Sm 0.269 0.762 0.515
Sm 0.731 0.238 0.485
Sm 0.760 0.776 0.520
Sm 0.724 0.740 0.980
Tb 0.000 0.000 0.000
Pm 0.000 0.000 0.500
Ac 0.000 0.500 0.500
Pm 0.500 0.000 0.500
Sm 0.240 0.224 0.480
Ac 0.000 0.500 0.000
Sm 0.276 0.260 0.020
Pm 0.500 0.000 0.000
Tb 0.500 0.500 0.500
Sm 0.262 0.769 0.015
Sm 0.738 0.231 0.985
Pm 0.500 0.500 0.000
```

## Properties
DFT formation energy: 398 meV per atom
Symmetry: C2/c, No. 15
V: 35.72 Å³ per atom
Density of states at the Fermi level: 37.35 states/eV per cell
E: -33.9 eV/f.u.
Mass density: 7.42 g/cm3

---

Record 5
Entry from Alexandria: a relaxed structure of AcTbPm2Sm5 (PBE-GGA). Values from VASP.

```
&SYSTEM
  ibrav = 0, nat = 18, ntyp = 4
/
ATOMIC_SPECIES
Sm 150.36 Sm.upf
Pm 145.00 Pm.upf
Ac 227.00 Ac.upf
Tb 158.93 Tb.upf
CELL_PARAMETERS angstrom
8.962 0.000 0.000
0.000 8.962 0.000
-4.481 -4.481 7.897
ATOMIC_POSITIONS crystal
Sm 0.163 0.072 0.735
Sm 0.337 0.837 0.265
Pm 0.883 0.617 0.000
Sm 0.572 0.663 0.735
Sm 0.500 0.500 0.000
Sm 0.928 0.428 0.265
Ac 0.750 0.750 0.500
Pm 0.383 0.883 0.000
Sm 0.837 0.928 0.265
Sm 0.000 0.000 0.000
Pm 0.617 0.117 0.000
Sm 0.663 0.163 0.735
Tb 0.250 0.750 0.500
Pm 0.117 0.383 0.000
Sm 0.428 0.337 0.265
Tb 0.750 0.250 0.500
Ac 0.250 0.250 0.500
Sm 0.072 0.572 0.735
```

## Properties
DFT formation energy: 255 meV per atom
Symmetry: I4/mcm, No. 140
V: 35.24 Å³ per atom
Density of states at the Fermi level: 20.23 states/eV per cell
E: -39.5 eV/f.u.
Mass density: 7.48 g/cm3

---

Record 6
Entry from Alexandria: a relaxed structure of AcTb2PmSm4 (PBE-GGA). Values from VASP.

```
&SYSTEM
  ibrav = 0, nat = 8, ntyp = 4
/
ATOMIC_SPECIES
Pm 145.00 Pm.upf
Sm 150.36 Sm.upf
Ac 227.00 Ac.upf
Tb 158.93 Tb.upf
CELL_PARAMETERS angstrom
5.182 0.000 0.000
0.000 5.022 1.207
0.000 2.616 11.279
ATOMIC_POSITIONS crystal
Pm 0.000 0.500 0.500
Sm 0.500 0.743 0.257
Ac 0.500 0.500 0.000
Sm 0.000 0.756 0.744
Sm 0.500 0.257 0.743
Tb 0.000 0.000 0.000
Sm 0.000 0.244 0.256
Tb 0.500 0.000 0.500
```

## Properties
DFT formation energy: 30 meV per atom
Symmetry: P2/m, No. 10
V: 34.64 Å³ per atom
Density of states at the Fermi level: 11.88 states/eV per cell
E: -36.8 eV/f.u.
Mass density: 7.74 g/cm3

---

Which of these has the highest V?
Ac2TbPmSm

---

What did the first record say?
Entry from Alexandria: a relaxed structure of AcTbPmSm2 (PBE-GGA). Values from VASP.

```
&SYSTEM
  ibrav = 0, nat = 10, ntyp = 4
/
ATOMIC_SPECIES
Sm 150.36 Sm.upf
Pm 145.00 Pm.upf
Ac 227.00 Ac.upf
Tb 158.93 Tb.upf
CELL_PARAMETERS angstrom
7.332 0.000 0.000
0.000 8.394 0.000
0.000 -4.197 6.123
ATOMIC_POSITIONS crystal
Sm 0.000 0.694 0.000
Sm 0.000 0.306 0.000
Sm 0.500 0.306 0.000
Pm 0.250 0.056 0.112
Ac 0.750 0.243 0.485
Tb 0.750 0.694 0.389
Pm 0.750 0.944 0.888
Sm 0.500 0.694 0.000
Ac 0.250 0.757 0.515
Tb 0.250 0.306 0.611
```

## Properties
DFT formation energy: 341 meV per atom
Symmetry: Cmcm, No. 63
V: 37.68 Å³ per atom
Density of states at the Fermi level: 13.59 states/eV per cell
E: -21.2 eV/f.u.
Mass density: 7.33 g/cm3

---

The highest V belongs to which entry?
Ac2TbPmSm